A relaxed HoZrCoPd crystal, computed with GGA-PBE.

Lattice parameters (Å, degrees): 4.734 4.734 4.734 60.00 60.00 60.00
Element x y z (fractional)
Ho 0.000 0.000 0.000
Zr 0.500 0.500 0.500
Co 0.750 0.750 0.750
Pd 0.250 0.250 0.250

---

A relaxed Pm12HoCo6 crystal, computed with GGA-PBE.

Lattice parameters (Å, degrees): 8.675 8.675 8.675 109.47 109.47 109.47
Element x y z (fractional)
Pm 0.115 0.805 0.310
Pm 0.195 0.310 0.504
Pm 0.195 0.690 0.885
Pm 0.310 0.115 0.805
Pm 0.310 0.504 0.195
Pm 0.496 0.805 0.690
Pm 0.504 0.195 0.310
Pm 0.690 0.496 0.805
Pm 0.690 0.885 0.195
Pm 0.805 0.310 0.115
Pm 0.805 0.690 0.496
Pm 0.885 0.195 0.690
Ho 0.000 0.000 0.000
Co 0.112 0.612 0.500
Co 0.388 0.500 0.888
Co 0.500 0.112 0.612
Co 0.500 0.888 0.388
Co 0.612 0.500 0.112
Co 0.888 0.388 0.500

---

A relaxed PmHoCo10 crystal, computed with GGA-PBE.

Lattice parameters (Å, degrees): 3.945 4.942 8.587 90.00 90.00 90.00
Element x y z (fractional)
Pm 0.000 0.000 0.000
Ho 0.000 0.500 0.500
Co 0.000 0.000 0.338
Co 0.000 0.000 0.662
Co 0.000 0.500 0.173
Co 0.000 0.500 0.827
Co 0.500 0.000 0.500
Co 0.500 0.252 0.254
Co 0.500 0.252 0.746
Co 0.500 0.500 0.000
Co 0.500 0.748 0.254
Co 0.500 0.748 0.746

---

A relaxed Pm2Ho3Co2 crystal, computed with GGA-PBE.

Lattice parameters (Å, degrees): 6.337 6.337 8.978 115.18 115.18 33.36
Element x y z (fractional)
Pm 0.170 0.170 0.302
Pm 0.830 0.830 0.698
Ho 0.381 0.381 0.075
Ho 0.500 0.500 0.500
Ho 0.619 0.619 0.925
Co 0.176 0.176 0.743
Co 0.824 0.824 0.257

---

A relaxed PmHoCo crystal, computed with GGA-PBE.

Lattice parameters (Å, degrees): 3.924 3.924 6.196 90.00 90.00 120.00
Element x y z (fractional)
Pm 0.000 0.000 0.000
Ho 0.667 0.333 0.464
Co 0.333 0.667 0.239

Computed properties:
- Energy relative to the lowest polymorph listed for this composition: 100 meV/atom

---

A relaxed PmHoCo crystal, computed with GGA-PBE.

Lattice parameters (Å, degrees): 4.734 4.734 4.734 60.00 60.00 60.00
Element x y z (fractional)
Pm 0.000 0.000 0.000
Ho 0.500 0.500 0.500
Co 0.750 0.750 0.750

Computed properties:
- Energy relative to the lowest polymorph listed for this composition: 117 meV/atom

---

A relaxed PmHoCo crystal, computed with GGA-PBE.

Lattice parameters (Å, degrees): 6.841 6.841 6.841 151.22 151.22 41.15
Element x y z (fractional)
Pm 0.000 0.000 0.000
Ho 0.744 0.744 0.000
Co 0.366 0.366 0.000

Computed properties:
- Energy relative to the lowest polymorph listed for this composition: 68 meV/atom

---

A relaxed PmHo2Co2 crystal, computed with GGA-PBE.

Lattice parameters (Å, degrees): 6.001 6.001 5.509 103.29 103.29 36.42
Element x y z (fractional)
Pm 0.000 0.000 0.000
Ho 0.350 0.350 0.417
Ho 0.650 0.650 0.583
Co 0.280 0.280 0.895
Co 0.720 0.720 0.105

Computed properties:
- Energy relative to the lowest polymorph listed for this composition: 74 meV/atom

---

A relaxed Pm2HoCo crystal, computed with GGA-PBE.

Lattice parameters (Å, degrees): 7.038 9.793 6.240 90.00 90.00 90.00
Element x y z (fractional)
Pm 0.176 0.070 0.176
Pm 0.176 0.430 0.176
Pm 0.324 0.570 0.676
Pm 0.324 0.930 0.676
Pm 0.676 0.070 0.324
Pm 0.676 0.430 0.324
Pm 0.824 0.570 0.824
Pm 0.824 0.930 0.824
Ho 0.043 0.250 0.653
Ho 0.457 0.750 0.153
Ho 0.543 0.250 0.847
Ho 0.957 0.750 0.347
Co 0.117 0.750 0.951
Co 0.383 0.250 0.451
Co 0.617 0.750 0.549
Co 0.883 0.250 0.049

Computed properties:
- Energy relative to the lowest polymorph listed for this composition: 0 meV/atom

---

A relaxed Pm2HoCo crystal, computed with GGA-PBE.

Lattice parameters (Å, degrees): 9.396 9.396 9.396 23.40 23.40 23.40
Element x y z (fractional)
Pm 0.000 0.000 0.000
Pm 0.216 0.216 0.216
Ho 0.774 0.774 0.774
Co 0.609 0.609 0.609

Computed properties:
- Energy relative to the lowest polymorph listed for this composition: 175 meV/atom

---

A relaxed Pm2HoCo6 crystal, computed with GGA-PBE.

Lattice parameters (Å, degrees): 6.705 6.705 4.127 90.00 90.00 120.00
Element x y z (fractional)
Pm 0.333 0.667 0.000
Pm 0.667 0.333 0.000
Ho 0.000 0.000 0.000
Co 0.000 0.332 0.500
Co 0.000 0.668 0.500
Co 0.332 0.000 0.500
Co 0.332 0.332 0.500
Co 0.668 0.000 0.500
Co 0.668 0.668 0.500

---

A relaxed PmHoCo crystal, computed with GGA-PBE.

Lattice parameters (Å, degrees): 6.409 6.409 8.122 124.51 124.51 33.50
Element x y z (fractional)
Pm 0.174 0.174 0.088
Pm 0.826 0.826 0.912
Ho 0.422 0.422 0.610
Ho 0.578 0.578 0.390
Co 0.114 0.114 0.690
Co 0.886 0.886 0.310

Computed properties:
- Energy relative to the lowest polymorph listed for this composition: 0 meV/atom

---

A relaxed PmHo4Co4 crystal, computed with GGA-PBE.

Lattice parameters (Å, degrees): 8.450 8.450 5.534 90.00 90.00 90.00
Element x y z (fractional)
Pm 0.250 0.250 0.250
Pm 0.750 0.750 0.750
Ho 0.065 0.672 0.134
Ho 0.172 0.935 0.634
Ho 0.328 0.565 0.634
Ho 0.435 0.828 0.134
Ho 0.565 0.172 0.866
Ho 0.672 0.435 0.366
Ho 0.828 0.065 0.366
Ho 0.935 0.328 0.866
Co 0.017 0.610 0.618
Co 0.110 0.983 0.118
Co 0.390 0.517 0.118
Co 0.483 0.890 0.618
Co 0.517 0.110 0.382
Co 0.610 0.483 0.882
Co 0.890 0.017 0.882
Co 0.983 0.390 0.382

---

A relaxed Pm2HoCo crystal, computed with GGA-PBE.

Lattice parameters (Å, degrees): 10.642 10.642 10.642 19.63 19.63 19.63
Element x y z (fractional)
Pm 0.112 0.112 0.112
Pm 0.888 0.888 0.888
Ho 0.000 0.000 0.000
Co 0.500 0.500 0.500

Computed properties:
- Energy relative to the lowest polymorph listed for this composition: 335 meV/atom

---

A relaxed Pm2HoCo crystal, computed with GGA-PBE.

Lattice parameters (Å, degrees): 6.546 6.267 11.310 90.00 90.00 90.00
Element x y z (fractional)
Pm 0.088 0.247 0.086
Pm 0.088 0.253 0.414
Pm 0.412 0.747 0.414
Pm 0.412 0.753 0.086
Pm 0.588 0.247 0.914
Pm 0.588 0.253 0.586
Pm 0.912 0.747 0.586
Pm 0.912 0.753 0.914
Ho 0.081 0.250 0.750
Ho 0.419 0.750 0.750
Ho 0.581 0.250 0.250
Ho 0.919 0.750 0.250
Co 0.250 0.000 0.911
Co 0.250 0.500 0.589
Co 0.750 0.000 0.089
Co 0.750 0.500 0.411

Computed properties:
- Energy relative to the lowest polymorph listed for this composition: 52 meV/atom

---

A relaxed Pm2HoCo crystal, computed with GGA-PBE.

Lattice parameters (Å, degrees): 3.507 3.507 8.812 90.00 90.00 90.00
Element x y z (fractional)
Pm 0.000 0.000 0.190
Pm 0.000 0.000 0.810
Ho 0.500 0.500 0.500
Co 0.500 0.500 0.000

Computed properties:
- Energy relative to the lowest polymorph listed for this composition: 162 meV/atom

---

A relaxed PmHoCo crystal, computed with GGA-PBE.

Lattice parameters (Å, degrees): 6.209 4.002 6.898 90.00 111.88 90.00
Element x y z (fractional)
Pm 0.250 0.000 0.249
Pm 0.750 0.000 0.751
Ho 0.235 0.500 0.745
Ho 0.765 0.500 0.255
Co 0.000 0.000 0.500
Co 0.000 0.500 0.000

Computed properties:
- Energy relative to the lowest polymorph listed for this composition: 67 meV/atom

---

A relaxed PmHo4Co crystal, computed with GGA-PBE.

Lattice parameters (Å, degrees): 6.203 6.203 8.359 109.99 109.99 33.22
Element x y z (fractional)
Pm 0.000 0.000 0.000
Ho 0.329 0.329 0.208
Ho 0.375 0.375 0.619
Ho 0.625 0.625 0.381
Ho 0.671 0.671 0.792
Co 0.000 0.000 0.500

---

A relaxed PmHo2Co2 crystal, computed with GGA-PBE.

Lattice parameters (Å, degrees): 7.594 7.594 3.979 90.00 90.00 150.31
Element x y z (fractional)
Pm 0.000 0.000 0.000
Ho 0.348 0.652 0.500
Ho 0.652 0.348 0.500
Co 0.207 0.793 0.000
Co 0.793 0.207 0.000

Computed properties:
- Energy relative to the lowest polymorph listed for this composition: 0 meV/atom

---

A relaxed PmHoCo crystal, computed with GGA-PBE.

Lattice parameters (Å, degrees): 6.847 6.847 6.832 104.74 104.74 28.67
Element x y z (fractional)
Pm 0.128 0.128 0.066
Pm 0.872 0.872 0.934
Ho 0.126 0.126 0.562
Ho 0.874 0.874 0.438
Co 0.498 0.498 0.263
Co 0.502 0.502 0.737

Computed properties:
- Energy relative to the lowest polymorph listed for this composition: 70 meV/atom

---

| no. | magnetization (μB/cell) | density of states at the Fermi level (states/eV/f.u.) | energy of formation from the pure elements (eV per atom) |
| --- | --- | --- | --- |
| 1 | 0.535 | 3.00 | -0.4222 |
| 2 | 0.017 | 18.27 | -0.0616 |
| 3 | 14.243 | 19.05 | -0.0859 |
| 4 | 0.000 | 7.67 | -0.1437 |
| 5 | 0.000 | 2.68 | -0.0297 |
| 6 | 0.000 | 3.21 | -0.0128 |
| 7 | 0.710 | 2.50 | -0.0622 |
| 8 | 0.000 | 4.61 | -0.0646 |
| 9 | 0.000 | 4.94 | -0.1063 |
| 10 | 0.291 | 5.38 | 0.0685 |
| 11 | 4.460 | 6.84 | -0.1271 |
| 12 | 0.000 | 2.63 | -0.1300 |
| 13 | 0.000 | 5.37 | -0.0551 |
| 14 | 0.003 | 5.79 | 0.2286 |
| 15 | 0.000 | 3.99 | -0.0547 |
| 16 | 1.653 | 5.35 | 0.0557 |
| 17 | 0.000 | 2.94 | -0.0633 |
| 18 | 0.000 | 7.71 | -0.0405 |
| 19 | 0.702 | 6.83 | -0.1382 |
| 20 | 1.231 | 2.79 | -0.0596 |